No. 1
A geometry-optimized Fe2Ge2Pd structure, computed with PBE.

Geometry as CIF:
```
data_Fe2Ge2Pd
_cell_length_a 3.656
_cell_length_b 3.656
_cell_length_c 11.143
_cell_angle_alpha 90.00
_cell_angle_beta 90.00
_cell_angle_gamma 90.00
_space_group_name_H-M_alt 'I 4/m m m'
_space_group_IT_number 139
_space_group_name_Hall '-I 4 2'
loop_
_atom_site_label
_atom_site_type_symbol
_atom_site_fract_x
_atom_site_fract_y
_atom_site_fract_z
_atom_site_occupancy
Fe1 Fe 0.000 0.000 0.100 1
Ge1 Ge 0.000 0.500 0.250 1
Pd1 Pd 0.000 0.000 0.500 1
```

Computed properties:
Calculated density = 8.10 Mg/m³
M_tot = 7.5 μB/cell
Energy of formation from the pure elements = 125.5 kJ/mol of formula units

---

No. 2
A geometry-optimized Sm3DyY2Se6 structure, computed with PBE.

Geometry as CIF:
```
data_Sm3DyY2Se6
_cell_length_a 7.103
_cell_length_b 12.380
_cell_length_c 7.189
_cell_angle_alpha 90.00
_cell_angle_beta 109.35
_cell_angle_gamma 90.00
_space_group_name_H-M_alt 'C 1 2/m 1'
_space_group_IT_number 12
loop_
_space_group_symop_operation_xyz
'x,y,z'
'-x,-y,-z'
'-x,y,-z'
'x,-y,z'
'x+1/2,y+1/2,z'
'-x+1/2,-y+1/2,-z'
'-x+1/2,y+1/2,-z'
'x+1/2,-y+1/2,z'
loop_
_atom_site_label
_atom_site_type_symbol
_atom_site_fract_x
_atom_site_fract_y
_atom_site_fract_z
_atom_site_occupancy
Sm1 Sm 0.000 0.000 0.000 1
Sm2 Sm 0.000 0.333 0.000 1
Dy1 Dy 0.000 0.500 0.500 1
Y1 Y 0.000 0.167 0.500 1
Se1 Se 0.247 0.334 0.741 1
Se2 Se 0.248 0.000 0.742 1
```

Computed properties:
Calculated density = 7.04 Mg/m³
M_tot = 0.0 μB/cell
Energy relative to the elements, uncorrected = -41.334 kcal/mol of atoms

---

Q: Number 1 is which compound?
A: Fe2Ge2Pd